A relaxed LaPmScAu crystal. Source: the Alexandria database, functional PBE-GGA.

The structure in CIF format:
```
data_LaPmScAu
_chemical_formula_sum 'La4 Pm4 Sc4 Au4'
_cell_length_a 7.5942
_cell_length_b 7.5942
_cell_length_c 7.5942
_cell_angle_alpha 90.00
_cell_angle_beta 90.00
_cell_angle_gamma 90.00
_space_group_name_H-M_alt 'F -4 3 m'
_space_group_IT_number 216
_space_group_name_Hall 'F -4 2 3'
loop_
_atom_site_label
_atom_site_type_symbol
_atom_site_fract_x
_atom_site_fract_y
_atom_site_fract_z
La1 La 0.0000 0.0000 0.0000
Pm1 Pm 0.0000 0.0000 0.5000
Sc1 Sc 0.2500 0.2500 0.7500
Au1 Au 0.2500 0.2500 0.2500
```

Results
**Spin magnetization**: 0.000 Bohr magnetons per cell
**Crystal system**: cubic
**N(E_F)**: 18.63 states/eV per cell
**DFT formation energy**: -0.172 eV per atom


A relaxed LaPmSnAu crystal. Source: the Alexandria database, functional PBE-GGA.

The structure in CIF format:
```
data_LaPmSnAu
_chemical_formula_sum 'La4 Pm4 Sn4 Au4'
_cell_length_a 7.6712
_cell_length_b 7.6712
_cell_length_c 7.6712
_cell_angle_alpha 90.00
_cell_angle_beta 90.00
_cell_angle_gamma 90.00
_space_group_name_H-M_alt 'F -4 3 m'
_space_group_IT_number 216
_space_group_name_Hall 'F -4 2 3'
loop_
_atom_site_label
_atom_site_type_symbol
_atom_site_fract_x
_atom_site_fract_y
_atom_site_fract_z
La1 La 0.0000 0.0000 0.0000
Pm1 Pm 0.0000 0.0000 0.5000
Sn1 Sn 0.2500 0.2500 0.2500
Au1 Au 0.2500 0.2500 0.7500
```

Results
**Spin magnetization**: 3.519 Bohr magnetons per cell
**Crystal system**: cubic
**N(E_F)**: 11.65 states/eV per cell
**DFT formation energy**: -0.730 eV per atom


A relaxed LaPmTcAu crystal. Source: the Alexandria database, functional PBE-GGA.

The structure in CIF format:
```
data_LaPmTcAu
_chemical_formula_sum 'La4 Pm4 Tc4 Au4'
_cell_length_a 7.2700
_cell_length_b 7.2700
_cell_length_c 7.2700
_cell_angle_alpha 90.00
_cell_angle_beta 90.00
_cell_angle_gamma 90.00
_space_group_name_H-M_alt 'F -4 3 m'
_space_group_IT_number 216
_space_group_name_Hall 'F -4 2 3'
loop_
_atom_site_label
_atom_site_type_symbol
_atom_site_fract_x
_atom_site_fract_y
_atom_site_fract_z
La1 La 0.0000 0.0000 0.0000
Pm1 Pm 0.0000 0.0000 0.5000
Tc1 Tc 0.2500 0.2500 0.7500
Au1 Au 0.2500 0.2500 0.2500
```

Results
**Spin magnetization**: 0.000 Bohr magnetons per cell
**Crystal system**: cubic
**N(E_F)**: 16.75 states/eV per cell
**DFT formation energy**: -0.209 eV per atom


A relaxed LaPrAu2 crystal. Source: the Alexandria database, functional PBE-GGA.

The structure in CIF format:
```
data_LaPrAu2
_chemical_formula_sum 'La3 Pr3 Au6'
_cell_length_a 4.2553
_cell_length_b 4.2553
_cell_length_c 22.9786
_cell_angle_alpha 90.00
_cell_angle_beta 90.00
_cell_angle_gamma 120.00
_space_group_name_H-M_alt 'R 3 m'
_space_group_IT_number 160
_space_group_name_Hall 'R 3 -2"'
loop_
_atom_site_label
_atom_site_type_symbol
_atom_site_fract_x
_atom_site_fract_y
_atom_site_fract_z
La1 La 0.0000 0.0000 0.0000
Pr1 Pr 0.0000 0.0000 0.8295
Au1 Au 0.0000 0.0000 0.2475
Au2 Au 0.0000 0.0000 0.4152
```

Results
**Spin magnetization**: 0.002 Bohr magnetons per cell
**Crystal system**: trigonal
**N(E_F)**: 13.79 states/eV per cell
**DFT formation energy**: -0.669 eV per atom